Here is an optimized crystal structure of Nd2Zn3Ge6 from Alexandria via LeMat-Bulk. Energies are from PBE.

Lattice parameters (Å, degrees): 5.963 24.829 5.959 90.00 90.00 90.00
Space group Cmcm (No. 63)
Inequivalent atoms, fractional coordinates:
1 Nd 0.000 0.106 0.250 [4 per cell]
2 Nd 0.000 0.393 0.250 [4 per cell]
3 Zn 0.000 0.160 0.750 [4 per cell]
4 Zn 0.235 0.500 0.000 [8 per cell]
5 Ge 0.000 0.058 0.750 [4 per cell]
6 Ge 0.000 0.430 0.750 [4 per cell]
7 Ge 0.216 0.299 0.535 [16 per cell]

The value obtained for the calculated density is 6.931 g/cm³. For the magnetization, the calculation gives 0.00 μB per formula unit. The value obtained for the total DFT energy (no corrections) is -4.137 eV/atom. The energy relative to the elements is -404.5 meV per atom.